Below is a geometry-optimized Tb5NdDy2Ho structure, with properties calculated at the PBE level.

Results
The calculation puts the total magnetization at 0.00 μB/f.u. The space group is Cmc2_1. As for the energy of formation from the pure elements: 0.1558 eV/atom. As for the mass density: 8.0 g/cm3.

Cell lengths 5.6232, 10.3285, 10.5650 Å; angles 90.00, 90.00, 105.80 degrees
Element x y z (fractional)
Dy 0.8860 0.7720 0.8187
Dy 0.8883 0.7766 0.2345
Dy 0.1140 0.2280 0.3187
Dy 0.1117 0.2234 0.7345
Nd 0.4154 0.8307 0.4531
Nd 0.5846 0.1693 0.9531
Tb 0.2983 0.5966 0.7086
Tb 0.0178 0.0355 0.0233
Tb 0.4792 0.9583 0.7381
Tb 0.2809 0.5618 0.3132
Tb 0.5208 0.0417 0.2381
Tb 0.7191 0.4382 0.8132
Tb 0.7017 0.4034 0.2086
Tb 0.9822 0.9645 0.5233
Tb 0.3866 0.7732 0.0224
Tb 0.6134 0.2268 0.5224
Ho 0.1997 0.3993 0.0121
Ho 0.8003 0.6007 0.5121

Below is a geometry-optimized SrZnAs2 structure, with properties calculated at the PBE level.

Results
The calculation puts the total magnetization at 0.00 μB/f.u. The space group is I-4m2. As for the energy of formation from the pure elements: -0.2327 eV/atom. As for the mass density: 5.5 g/cm3.

Cell lengths 5.7650, 5.7650, 5.7650 Å; angles 136.17, 136.17, 63.71 degrees
Element x y z (fractional)
Sr 0.5000 0.5000 0.0000
As 0.2500 0.7500 0.5000
As 0.0000 0.0000 0.0000
Zn 0.7500 0.2500 0.5000

Below is a geometry-optimized PmTlPt2 structure, with properties calculated at the PBE level.

Results
The calculation puts the total magnetization at 0.00 μB/f.u. The space group is P4/mmm. As for the energy of formation from the pure elements: -0.6027 eV/atom. As for the mass density: 14.2 g/cm3.

Cell lengths 3.7384, 3.7384, 6.1888 Å; angles 90.00, 90.00, 90.00 degrees
Element x y z (fractional)
Tl 0.5000 0.5000 0.5000
Pt 0.0000 0.0000 0.7489
Pt 0.0000 0.0000 0.2511
Pm 0.5000 0.5000 0.0000

Below is a geometry-optimized K4PmTc3O12 structure, with properties calculated at the PBE level.

Results
The calculation puts the total magnetization at 1.04 μB/f.u. The value obtained for the raw formation energy is -1722 meV/atom. The space group is Im-3m. As for the mass density: 4.8 g/cm3.

Cell lengths 7.0866, 7.0866, 7.0866 Å; angles 109.47, 109.47, 109.47 degrees
Last column: magnetic moment on the atom in μB.
Element x y z (fractional)
O 0.7260 0.7260 0.0000  0.01
O 0.2500 0.5000 0.7500  0.03
O 0.2740 0.0000 0.2740  0.01
O 0.0000 0.7260 0.7260  0.01
O 0.0000 0.2740 0.2740  0.01
O 0.2740 0.2740 0.0000  0.01
O 0.2500 0.7500 0.5000  0.03
O 0.5000 0.7500 0.2500  0.03
O 0.7500 0.5000 0.2500  0.03
O 0.7260 0.0000 0.7260  0.01
O 0.7500 0.2500 0.5000  0.03
O 0.5000 0.2500 0.7500  0.03
K 0.0000 0.5000 0.0000  0.00
K 0.5000 0.5000 0.5000  0.00
K 0.5000 0.0000 0.0000  0.00
K 0.0000 0.0000 0.5000  0.00
Pm 0.0000 0.0000 0.0000  0.00
Tc 0.5000 0.0000 0.5000  0.22
Tc 0.5000 0.5000 0.0000  0.22
Tc 0.0000 0.5000 0.5000  0.22

Below is a geometry-optimized DyMnNiRh structure, with properties calculated at the PBE level.

Results
The calculation puts the total magnetization at 4.44 μB/f.u. The space group is F-43m. As for the energy of formation from the pure elements: -0.2988 eV/atom. As for the mass density: 9.5 g/cm3.

Cell lengths 4.5419, 4.5419, 4.5419 Å; angles 60.00, 60.00, 60.00 degrees
Last column: magnetic moment on the atom in μB.
Element x y z (fractional)
Mn 0.0000 0.0000 0.0000  3.81
Dy 0.5000 0.5000 0.5000  -0.07
Rh 0.7500 0.7500 0.7500  0.31
Ni 0.2500 0.2500 0.2500  0.25

Below is a geometry-optimized Pm4ThSc structure, with properties calculated at the PBE level.

Results
The energy above the most stable polymorph in this dataset comes out at 85 meV per atom. The calculation puts the total magnetization at 0.00 μB/f.u. The space group is C2/m. As for the energy of formation from the pure elements: 0.1307 eV/atom. As for the mass density: 7.4 g/cm3.

Cell lengths 5.8364, 6.3815, 6.8047 Å; angles 93.52, 64.61, 62.79 degrees
Element x y z (fractional)
Pm 0.8418 0.8503 0.4661
Pm 0.3402 0.3140 0.0057
Pm 0.1582 0.1497 0.5339
Pm 0.6598 0.6860 0.9943
Sc 0.0000 0.0000 0.0000
Th 0.5000 0.5000 0.5000

Below is a geometry-optimized Fe2AsP structure, with properties calculated at the PBE level.

Results
The calculation puts the total magnetization at 0.00 μB/f.u. The space group is I-42d. As for the energy of formation from the pure elements: 0.1220 eV/atom. As for the mass density: 5.4 g/cm3.

Cell lengths 5.1100, 5.1100, 6.2387 Å; angles 65.82, 65.82, 90.00 degrees
Element x y z (fractional)
As 0.7500 0.2500 0.5000
As 0.0000 0.0000 0.0000
Fe 0.6024 0.1250 0.2500
Fe 0.1476 0.6250 0.2500
Fe 0.3750 0.3976 0.7500
Fe 0.8750 0.8524 0.7500
P 0.2500 0.7500 0.5000
P 0.5000 0.5000 0.0000

Below is a geometry-optimized YCrCl2 structure, with properties calculated at the PBE level.

Results
The energy above the most stable polymorph in this dataset comes out at 0 meV per atom. The calculation puts the total magnetization at 3.53 μB/f.u. The value obtained for the raw formation energy is -819 meV/atom. The space group is R3m. As for the mass density: 3.3 g/cm3.

Cell lengths 9.5264, 9.5264, 9.5264 Å; angles 22.05, 22.05, 22.05 degrees
Last column: magnetic moment on the atom in μB.
Element x y z (fractional)
Y 0.7511 0.7511 0.7511  -0.31
Cl 0.0215 0.0215 0.0215  -0.01
Cl 0.2228 0.2228 0.2228  0.04
Cr 0.5046 0.5046 0.5046  3.67

Below is a geometry-optimized LaAlP2Ir structure, with properties calculated at the PBE level.

Results
The calculation puts the total magnetization at 1.01 μB/f.u. The space group is P4/mmm. As for the energy of formation from the pure elements: 0.6578 eV/atom. As for the mass density: 6.0 g/cm3.

Cell lengths 4.4418, 5.9408, 4.4418 Å; angles 90.00, 90.00, 90.00 degrees
Last column: magnetic moment on the atom in μB.
Element x y z (fractional)
Al 0.0000 0.0000 0.0000  -0.01
P 0.0000 0.0000 0.5000  0.05
P 0.5000 0.0000 0.0000  0.07
Ir 0.5000 0.5000 0.5000  0.81
La 0.0000 0.5000 0.0000  -0.04

Below is a geometry-optimized InCu4Te structure, with properties calculated at the PBE level.

Results
The calculation puts the total magnetization at 0.00 μB/f.u. The value obtained for the raw formation energy is 118 meV/atom. The space group is F-43m. As for the mass density: 8.5 g/cm3.

Cell lengths 5.1615, 5.1615, 5.1615 Å; angles 60.00, 60.00, 60.00 degrees
Element x y z (fractional)
Te 0.0000 0.0000 0.0000
Cu 0.3756 0.3756 0.8733
Cu 0.8733 0.3756 0.3756
Cu 0.3756 0.3756 0.3756
Cu 0.3756 0.8733 0.3756
In 0.7500 0.7500 0.7500

Below is a geometry-optimized LiTaZn2 structure, with properties calculated at the PBE level.

Results
The energy above the most stable polymorph in this dataset comes out at 393 meV per atom. The calculation puts the total magnetization at 0.91 μB/f.u. The space group is I-4m2. As for the energy of formation from the pure elements: 0.3255 eV/atom. As for the mass density: 8.7 g/cm3.

Cell lengths 4.7429, 4.7429, 4.7429 Å; angles 130.12, 130.12, 73.22 degrees
Last column: magnetic moment on the atom in μB.
Element x y z (fractional)
Zn 0.0000 0.0000 0.0000  0.04
Zn 0.2500 0.7500 0.5000  0.02
Li 0.5000 0.5000 0.0000  0.03
Ta 0.7500 0.2500 0.5000  0.56

Below is a geometry-optimized TaSe2Br structure, with properties calculated at the PBE level.

Results
The energy above the most stable polymorph in this dataset comes out at 1271 meV per atom. The calculation puts the total magnetization at 0.00 μB/f.u. The value obtained for the raw formation energy is 583 meV/atom. The space group is P4/mmm. As for the mass density: 8.8 g/cm3.

Cell lengths 4.9239, 4.9239, 3.2433 Å; angles 90.00, 90.00, 90.00 degrees
Element x y z (fractional)
Ta 0.5000 0.0000 0.5000
Se 0.0000 0.0000 0.0000
Se 0.5000 0.5000 0.0000
Br 0.0000 0.5000 0.5000

Below is a geometry-optimized Na4IBr3 structure, with properties calculated at the PBE level.

Results
The energy above the most stable polymorph in this dataset comes out at 0 meV per atom. The calculation puts the total magnetization at 0.00 μB/f.u. The value obtained for the raw formation energy is -1477 meV/atom. The space group is P2/c. As for the mass density: 3.2 g/cm3.

Cell lengths 7.5349, 7.5593, 8.7401 Å; angles 90.00, 90.00, 109.57 degrees
Element x y z (fractional)
Na 0.0089 0.2516 0.6162
Na 0.0024 0.7342 0.8658
Na 0.5024 0.7342 0.1342
Na 0.9976 0.2658 0.1342
Na 0.4911 0.7484 0.6162
Na 0.5089 0.2516 0.3838
Na 0.4976 0.2658 0.8658
Na 0.9911 0.7484 0.3838
Br 0.2500 0.0000 0.6224
Br 0.2500 0.5000 0.8706
Br 0.7500 0.0000 0.3776
Br 0.7500 0.5000 0.1294
Br 0.2500 0.5000 0.3776
Br 0.7500 0.5000 0.6224
I 0.2500 0.0000 0.1258
I 0.7500 0.0000 0.8742

Below is a geometry-optimized Ta2AlFe structure, with properties calculated at the PBE level.

Results
The calculation puts the total magnetization at 1.78 μB/f.u. The space group is I4/mmm. As for the energy of formation from the pure elements: -0.0907 eV/atom. As for the mass density: 11.7 g/cm3.

Cell lengths 4.7821, 4.7821, 4.7821 Å; angles 129.74, 129.74, 73.83 degrees
Last column: magnetic moment on the atom in μB.
Element x y z (fractional)
Ta 0.0000 0.0000 0.0000  -0.04
Ta 0.5000 0.5000 0.0000  -0.04
Fe 0.7500 0.2500 0.5000  1.86
Al 0.2500 0.7500 0.5000  0.00

Below is a geometry-optimized TbGeAs2 structure, with properties calculated at the PBE level.

Results
The calculation puts the total magnetization at 0.00 μB/f.u. The space group is R-3m. As for the energy of formation from the pure elements: -0.1516 eV/atom. As for the mass density: 5.0 g/cm3.

Cell lengths 4.4480, 4.4480, 7.8643 Å; angles 73.57, 73.57, 60.00 degrees
Element x y z (fractional)
Ge 0.0000 0.0000 0.0000
As 0.1048 0.1048 0.6856
As 0.8952 0.8952 0.3144
Tb 0.5000 0.5000 0.5000

Below is a geometry-optimized Cs2BaI2 structure, with properties calculated at the PBE level.

Results
The calculation puts the total magnetization at 0.00 μB/f.u. The value obtained for the raw formation energy is -1041 meV/atom. The space group is P4/mbm. As for the mass density: 3.9 g/cm3.

Cell lengths 9.9628, 9.9628, 5.6568 Å; angles 90.00, 90.00, 90.00 degrees
Element x y z (fractional)
Ba 0.0000 0.0000 0.0000
Ba 0.5000 0.5000 0.0000
Cs 0.8483 0.3483 0.5000
Cs 0.3483 0.1517 0.5000
Cs 0.1517 0.6517 0.5000
Cs 0.6517 0.8483 0.5000
I 0.8395 0.6605 0.0000
I 0.3395 0.8395 0.0000
I 0.1605 0.3395 0.0000
I 0.6605 0.1605 0.0000

Below is a geometry-optimized Cs2BaScI6 structure, with properties calculated at the PBE level.

Results
The calculation puts the total magnetization at 1.01 μB/f.u. The value obtained for the raw formation energy is -1424 meV/atom. The space group is Pmmn. As for the mass density: 3.9 g/cm3.

Cell lengths 8.7607, 9.2343, 12.6858 Å; angles 90.00, 90.00, 90.00 degrees
Last column: magnetic moment on the atom in μB.
Element x y z (fractional)
I 0.7428 0.4528 0.5000  -0.01
I 0.0000 0.7709 0.2343  0.00
I 0.2572 0.4528 0.5000  -0.01
I 0.2642 0.9972 0.5000  -0.01
I 0.7642 0.0028 0.0000  -0.01
I 0.0000 0.7709 0.7657  0.00
I 0.5000 0.2291 0.2657  0.00
I 0.5000 0.2291 0.7343  0.00
I 0.2358 0.0028 0.0000  -0.01
I 0.7572 0.5472 0.0000  -0.01
I 0.7358 0.9972 0.5000  -0.01
I 0.2428 0.5472 0.0000  -0.01
Cs 0.0000 0.2131 0.2755  0.00
Cs 0.5000 0.7869 0.2245  0.00
Cs 0.5000 0.7869 0.7755  0.00
Cs 0.0000 0.2131 0.7245  0.00
Sc 0.0000 0.7705 0.0000  0.67
Sc 0.5000 0.2295 0.5000  0.67
Ba 0.0000 0.7257 0.5000  0.03
Ba 0.5000 0.2743 0.0000  0.03

Below is a geometry-optimized ZrCdW structure, with properties calculated at the PBE level.

Results
The energy above the most stable polymorph in this dataset comes out at 867 meV per atom. The calculation puts the total magnetization at 0.00 μB/f.u. The space group is F-43m. As for the energy of formation from the pure elements: 1.1251 eV/atom. As for the mass density: 9.1 g/cm3.

Cell lengths 4.6369, 4.6369, 4.6369 Å; angles 60.00, 60.00, 60.00 degrees
Element x y z (fractional)
Zr 0.0000 0.0000 0.0000
W 0.7500 0.7500 0.7500
Cd 0.5000 0.5000 0.5000

Below is a geometry-optimized Ce2TmH6 structure, with properties calculated at the PBE level.

Results
The calculation puts the total magnetization at 1.54 μB/f.u. The calculated total energy is -0.341 Ry/atom. The space group is Immm. As for the mass density: 6.7 g/cm3.

Cell lengths 3.7340, 5.3557, 6.5037 Å; angles 114.31, 106.68, 90.00 degrees
Last column: magnetic moment on the atom in μB.
Element x y z (fractional)
H 0.8388 0.6007 0.6774  0.00
H 0.1612 0.9233 0.3226  0.00
H 0.8388 0.0767 0.6774  0.00
H 0.5000 0.7695 0.0000  0.00
H 0.5000 0.2305 0.0000  0.00
H 0.1612 0.3993 0.3226  0.00
Ce 0.3361 0.3360 0.6720  0.66
Ce 0.6639 0.6640 0.3280  0.66
Tm 0.0000 0.0000 0.0000  0.01

Below is a geometry-optimized LaZrAs structure, with properties calculated at the PBE level.

Results
The energy above the most stable polymorph in this dataset comes out at 190 meV per atom. The calculation puts the total magnetization at 0.00 μB/f.u. The space group is Imm2. As for the energy of formation from the pure elements: -0.8070 eV/atom. As for the mass density: 6.4 g/cm3.

Cell lengths 4.4910, 3.9678, 17.7312 Å; angles 90.00, 90.00, 90.00 degrees
Element x y z (fractional)
Zr 0.0000 0.0000 0.7520
Zr 0.5000 0.5000 0.2520
Zr 0.5000 0.5000 0.7968
Zr 0.0000 0.0000 0.2968
La 0.0000 0.0000 0.1188
La 0.5000 0.5000 0.6188
La 0.5000 0.0000 0.9481
La 0.0000 0.5000 0.4481
As 0.5000 0.5000 0.0887
As 0.5000 0.0000 0.3833
As 0.0000 0.5000 0.8833
As 0.0000 0.0000 0.5887